1.
The following is a DFT calculation (PBE with a Hubbard U) of a relaxed SmMn3Cr4O12 crystal.

E_tot   -7.864 eV per atom
Magnetic moment   24.00 μB per cell
Volume   10.5 A^3/atom

```
data_SmMn3Cr4O12
_cell_length_a 6.4954
_cell_length_b 6.4954
_cell_length_c 6.4954
_cell_angle_alpha 109.47
_cell_angle_beta 109.47
_cell_angle_gamma 109.47
_symmetry_space_group_name_H-M 'P 1'
_symmetry_Int_Tables_number 1
loop_
_symmetry_equiv_pos_as_xyz
'x,y,z'
loop_
_atom_site_label
_atom_site_fract_x
_atom_site_fract_y
_atom_site_fract_z
_atom_site_occupancy
O1 0.3058 0.8259 0.1318 1
Sm1 0.0000 0.0000 0.0000 1
Mn1 0.0000 0.5000 0.5000 1
O2 0.6942 0.1741 0.8682 1
O3 0.1741 0.8682 0.6942 1
Cr1 0.0000 0.5000 0.0000 1
O4 0.4799 0.3058 0.1741 1
O5 0.8259 0.1318 0.3058 1
O6 0.1741 0.4799 0.3058 1
O7 0.3058 0.1741 0.4799 1
O8 0.5201 0.6942 0.8259 1
Cr2 0.5000 0.0000 0.0000 1
O9 0.8259 0.5201 0.6942 1
Mn2 0.5000 0.0000 0.5000 1
O10 0.6942 0.8259 0.5201 1
Cr3 0.0000 0.0000 0.5000 1
O11 0.8682 0.6942 0.1741 1
Cr4 0.5000 0.5000 0.5000 1
Mn3 0.5000 0.5000 0.0000 1
O12 0.1318 0.3058 0.8259 1
```

2.
The following is a DFT calculation (PBE with a Hubbard U) of a relaxed SmMnCr2O8 crystal.

E_tot   -7.382 eV per atom
Magnetic moment   6.00 μB per cell
Volume   13.5 A^3/atom

```
data_SmMnCr2O8
_cell_length_a 5.9743
_cell_length_b 5.9743
_cell_length_c 5.9743
_cell_angle_alpha 106.33
_cell_angle_beta 106.33
_cell_angle_gamma 115.96
_symmetry_space_group_name_H-M 'P 1'
_symmetry_Int_Tables_number 1
loop_
_symmetry_equiv_pos_as_xyz
'x,y,z'
loop_
_atom_site_label
_atom_site_fract_x
_atom_site_fract_y
_atom_site_fract_z
_atom_site_occupancy
O1 0.9112 0.5935 0.6823 1
Sm1 0.0000 0.0000 0.0000 1
Cr1 0.7500 0.2500 0.5000 1
O2 0.4831 0.6723 0.8109 1
O3 0.8614 0.6723 0.1891 1
O4 0.3277 0.5169 0.1891 1
O5 0.9112 0.2289 0.3177 1
Mn1 0.2500 0.7500 0.5000 1
O6 0.7711 0.0888 0.6823 1
O7 0.3277 0.1386 0.8109 1
O8 0.4065 0.0888 0.3177 1
Cr2 0.5000 0.5000 0.0000 1
```

3.
The following is a DFT calculation (PBE with a Hubbard U) of a relaxed MnCr2SnO crystal.

E_tot   -5.547 eV per atom
Magnetic moment   14.83 μB per cell
Volume   25.1 A^3/atom

```
data_MnCr2SnO
_cell_length_a 5.4959
_cell_length_b 4.1621
_cell_length_c 5.4959
_cell_angle_alpha 90.00
_cell_angle_beta 90.00
_cell_angle_gamma 90.00
_symmetry_space_group_name_H-M 'P 1'
_symmetry_Int_Tables_number 1
loop_
_symmetry_equiv_pos_as_xyz
'x,y,z'
loop_
_atom_site_label
_atom_site_fract_x
_atom_site_fract_y
_atom_site_fract_z
_atom_site_occupancy
Cr1 0.5000 0.0000 0.0000 1
Cr2 0.0000 0.0000 0.5000 1
Mn1 0.5000 0.5000 0.5000 1
Sn1 0.0000 0.0000 0.0000 1
O1 0.0000 0.5000 0.0000 1
```

4.
The following is a DFT calculation (PBE with a Hubbard U) of a relaxed SrMnCrO6 crystal.

E_tot   -6.767 eV per atom
Magnetic moment   3.00 μB per cell
Volume   13.0 A^3/atom

```
data_SrMnCrO6
_cell_length_a 5.0239
_cell_length_b 5.0236
_cell_length_c 5.3711
_cell_angle_alpha 90.00
_cell_angle_beta 89.99
_cell_angle_gamma 59.98
_symmetry_space_group_name_H-M 'P 1'
_symmetry_Int_Tables_number 1
loop_
_symmetry_equiv_pos_as_xyz
'x,y,z'
loop_
_atom_site_label
_atom_site_fract_x
_atom_site_fract_y
_atom_site_fract_z
_atom_site_occupancy
Mn1 0.3333 0.3334 0.5073 1
O1 0.3866 0.6227 0.3058 1
O2 0.9896 0.6107 0.6993 1
O3 0.6106 0.3996 0.6993 1
Cr1 0.6666 0.6666 0.4879 1
O4 0.3996 0.9898 0.6993 1
O5 0.6227 0.9906 0.3057 1
Sr1 0.0000 0.0000 0.9897 1
O6 0.9908 0.3866 0.3057 1
```